22
Lattice="5.415 0.000 0.000 0.000 2.709 10.057 0.000 -2.709 10.057" Properties=species:S:1:pos:R:3 comment="Sr3Y2FeCu3BiO12 | Alexandria via LeMat-Bulk | GGA+U | optimized geometry" space_group="Amm2, No. 38" m_tot_mub_per_fu=3.932 n_ef_per_ev_cell=3.87 e_tot_ev_per_atom=-6.5237 pbc="T T T"
Sr 0.000 0.000 0.000
Sr 0.000 0.000 7.196
Sr 2.708 0.000 10.072
Y 0.000 0.000 3.633
Y 2.708 0.000 13.751
Fe 0.000 0.000 11.739
Cu 0.000 0.000 15.405
Cu 2.708 0.000 1.998
Cu 2.708 0.000 5.351
Bi 2.708 0.000 17.491
O 0.000 0.000 9.820
O 0.000 0.000 17.679
O 1.341 -1.343 5.034
O 1.344 -1.342 12.189
O 1.341 1.343 5.034
O 1.344 1.342 12.189
O 2.708 0.000 7.636
O 2.708 0.000 19.616
O 4.074 -1.343 5.034
O 4.071 -1.342 12.189
O 4.074 1.343 5.034
O 4.071 1.342 12.189